[1]
Material: LiY6Co
Method: DFT, GGA-PBE
State: optimized geometry

Lattice parameters (Å, degrees): 6.702 6.710 7.280 62.62 62.66 60.03
Atoms (fractional coordinates):
1 Y 0.585 0.217 0.244
2 Y 0.415 0.783 0.756
3 Y 0.045 0.415 0.756
4 Y 0.218 0.955 0.244
5 Y 0.782 0.045 0.756
6 Y 0.955 0.585 0.244
7 Co 0.000 0.000 0.000
8 Li 0.500 0.500 0.500

Summary:
DFT formation energy (eV per atom): 0.134
N(E_F) (states/eV/cell): 12.60

---

[2]
Material: Tb4Dy5Er
Method: DFT, GGA-PBE
State: optimized geometry

Lattice parameters (Å, degrees): 5.872 8.007 8.007 82.27 68.49 68.49
Atoms (fractional coordinates):
1 Dy 0.141 0.622 0.000
2 Dy 0.763 0.378 0.000
3 Dy 0.141 0.000 0.622
4 Dy 0.688 0.000 0.000
5 Dy 0.763 0.000 0.378
6 Tb 0.450 0.676 0.324
7 Tb 0.773 0.676 0.676
8 Tb 0.126 0.324 0.324
9 Tb 0.450 0.324 0.676
10 Er 0.215 0.000 0.000

Summary:
DFT formation energy (eV per atom): 0.261
Distance to the lowest polymorph of the same formula (meV per atom): 246
N(E_F) (states/eV/cell): 13.44